1.
Density functional theory data (GGA-PBE) for a geometry-optimized HfVZnAs2 structure.

a b c (Å): 4.6478 4.6478 4.6503
angles (deg): 90.00 90.00 90.00
With the nearest neighbours (Å) after each atom.
Space group P4/mmm (No. 123)
Symmetry-distinct sites (fractional):
Hf: 0.0000 0.0000 0.0000  4 Zn 3.29, 8 As 3.29
V: 0.5000 0.5000 0.5000  4 As 2.32, 2 Zn 2.33
Zn: 0.5000 0.5000 0.0000  2 V 2.33
As: 0.0000 0.5000 0.5000  2 V 2.32

2.
Density functional theory data (GGA-PBE) for a geometry-optimized HfAs3W structure.

Summary:
- energy relative to the lowest polymorph listed for this composition (meV/atom) = 488.6

a b c (Å): 5.0633 5.0633 5.0633
angles (deg): 90.00 90.00 90.00
With the nearest neighbours (Å) after each atom.
Space group Pm-3m (No. 221)
Symmetry-distinct sites (fractional):
Hf: 0.0000 0.0000 0.0000  6 As 2.53
As: 0.0000 0.0000 0.5000  2 Hf 2.53
W: 0.5000 0.5000 0.5000  12 As 3.58

no.,density (g cm⁻³),formation energy (eV per atom)
1,7.35,0.38
2,7.51,1.20